A plane-wave DFT calculation with PBE-GGA was carried out for an optimized crystal structure of Dy2RhAu2.

The calculation puts the total energy at -26.8 eV/f.u. For the total moment, the calculation gives 0.00 μB per atom. For the formation energy, the calculation gives -0.74 eV per atom.

The space group is Ibam (No. 72) and the conventional cell measures 6.234, 12.634 and 6.014 Å, with angles of 90.00, 90.00 and 90.00 degrees. The distinct sites, in fractional coordinates, are Dy at (0.245, 0.144, 0.000), Rh at (0.000, 0.500, 0.250) and Au at (0.225, 0.124, 0.500).

---

A plane-wave DFT calculation with PBE-GGA was carried out for an optimized crystal structure of Dy8RhAu2.

The calculation puts the total energy at -54.8 eV/f.u. For the total moment, the calculation gives 0.00 μB per atom. For the formation energy, the calculation gives -0.37 eV per atom.

The space group is Cm (No. 8) and the conventional cell measures 8.140, 14.129 and 5.934 Å, with angles of 90.00, 116.46 and 90.00 degrees. The distinct sites, in fractional coordinates, are Dy at (0.000, 0.000, 0.000), Dy at (0.085, 0.381, 0.830), Dy at (0.121, 0.121, 0.557), Dy at (0.208, 0.500, 0.409), Dy at (0.347, 0.192, 0.201), Rh at (0.354, 0.000, 0.370) and Au at (0.367, 0.295, 0.723).

---

A plane-wave DFT calculation with PBE-GGA was carried out for an optimized crystal structure of Dy5Rh2Au.

The calculation puts the total energy at -46.8 eV/f.u. For the total moment, the calculation gives 0.00 μB per atom. For the formation energy, the calculation gives -0.73 eV per atom.

The space group is I4/mcm (No. 140) and the conventional cell measures 7.637, 7.637 and 13.360 Å, with angles of 90.00, 90.00 and 90.00 degrees. The distinct sites, in fractional coordinates, are Dy at (0.000, 0.000, 0.000), Dy at (0.163, 0.337, 0.139), Rh at (0.137, 0.363, 0.500) and Au at (0.000, 0.000, 0.250).

---

A plane-wave DFT calculation with PBE-GGA was carried out for an optimized crystal structure of Dy5Rh4Au.

The calculation puts the total energy at -64.4 eV/f.u. For the total moment, the calculation gives 0.00 μB per atom. For the formation energy, the calculation gives -0.87 eV per atom.

The space group is P4/mmm (No. 123) and the conventional cell measures 3.440, 3.440 and 17.544 Å, with angles of 90.00, 90.00 and 90.00 degrees. The distinct sites, in fractional coordinates, are Dy at (0.000, 0.000, 0.000), Dy at (0.000, 0.000, 0.195), Dy at (0.000, 0.000, 0.389), Rh at (0.500, 0.500, 0.098), Rh at (0.500, 0.500, 0.294) and Au at (0.500, 0.500, 0.500).

---

A plane-wave DFT calculation with PBE-GGA was carried out for an optimized crystal structure of DySbRhAu.

The calculation puts the total energy at -21.7 eV/f.u. The energy relative to the elements, uncorrected comes out at -581 meV/atom. For the total moment, the calculation gives 0.00 μB per atom.

The space group is F-43m (No. 216) and the conventional cell measures 6.885, 6.885 and 6.885 Å, with angles of 90.00, 90.00 and 90.00 degrees. The distinct sites, in fractional coordinates, are Dy at (0.000, 0.000, 0.000), Sb at (0.000, 0.000, 0.500), Rh at (0.250, 0.250, 0.750) and Au at (0.250, 0.250, 0.250).

---

A plane-wave DFT calculation with PBE-GGA was carried out for an optimized crystal structure of Dy6Rh2AuSe3.

The calculation puts the total energy at -71.1 eV/f.u. The energy relative to the elements, uncorrected comes out at -1255 meV/atom. For the total moment, the calculation gives 0.00 μB per atom.

The space group is C2/m (No. 12) and the conventional cell measures 6.916, 11.980 and 7.477 Å, with angles of 90.00, 107.99 and 90.00 degrees. The distinct sites, in fractional coordinates, are Dy at (0.225, 0.000, 0.230), Dy at (0.246, 0.176, 0.767), Rh at (0.000, 0.168, 0.000), Au at (0.000, 0.500, 0.000), Se at (0.000, 0.000, 0.500) and Se at (0.000, 0.338, 0.500).

---

A plane-wave DFT calculation with PBE-GGA was carried out for an optimized crystal structure of Dy2Si2Rh5Au.

The calculation puts the total energy at -68.8 eV/f.u. The energy relative to the elements, uncorrected comes out at -876 meV/atom. For the total moment, the calculation gives 0.00 μB per atom.

The space group is P4/mbm (No. 127) and the conventional cell measures 9.760, 9.760 and 3.500 Å, with angles of 90.00, 90.00 and 90.00 degrees. The distinct sites, in fractional coordinates, are Dy at (0.175, 0.325, 0.000), Si at (0.124, 0.624, 0.000), Rh at (0.000, 0.500, 0.500), Rh at (0.069, 0.784, 0.500) and Au at (0.000, 0.000, 0.000).

---

A plane-wave DFT calculation with PBE-GGA was carried out for an optimized crystal structure of SrDyRhAu.

The calculation puts the total energy at -19.2 eV/f.u. For the total moment, the calculation gives 0.00 μB per atom. For the formation energy, the calculation gives -0.57 eV per atom.

The space group is F-43m (No. 216) and the conventional cell measures 7.199, 7.199 and 7.199 Å, with angles of 90.00, 90.00 and 90.00 degrees. The distinct sites, in fractional coordinates, are Sr at (0.000, 0.000, 0.000), Dy at (0.000, 0.000, 0.500), Rh at (0.250, 0.250, 0.250) and Au at (0.250, 0.250, 0.750).

---

A plane-wave DFT calculation with PBE-GGA was carried out for an optimized crystal structure of TbDyRhAu.

The calculation puts the total energy at -23.2 eV/f.u. For the total moment, the calculation gives 0.00 μB per atom. For the formation energy, the calculation gives -0.82 eV per atom.

The space group is F-43m (No. 216) and the conventional cell measures 7.051, 7.051 and 7.051 Å, with angles of 90.00, 90.00 and 90.00 degrees. The distinct sites, in fractional coordinates, are Tb at (0.000, 0.000, 0.000), Dy at (0.000, 0.000, 0.500), Rh at (0.250, 0.250, 0.250) and Au at (0.250, 0.250, 0.750).

---

A plane-wave DFT calculation with PBE-GGA was carried out for an optimized crystal structure of TbDyRhAu.

The calculation puts the total energy at -23.3 eV/f.u. For the total moment, the calculation gives 0.00 μB per atom. For the formation energy, the calculation gives -0.85 eV per atom.

The space group is P4mm (No. 99) and the conventional cell measures 3.540, 3.540 and 6.974 Å, with angles of 90.00, 90.00 and 90.00 degrees. The distinct sites, in fractional coordinates, are Tb at (0.000, 0.000, 0.000), Dy at (0.000, 0.000, 0.525), Rh at (0.500, 0.500, 0.761) and Au at (0.500, 0.500, 0.265).

---

A plane-wave DFT calculation with PBE-GGA was carried out for an optimized crystal structure of Dy6Te3Rh2Au.

The calculation puts the total energy at -67.7 eV/f.u. The energy relative to the elements, uncorrected comes out at -1053 meV/atom. For the total moment, the calculation gives 0.00 μB per atom.

The space group is C2/m (No. 12) and the conventional cell measures 7.191, 12.431 and 7.674 Å, with angles of 90.00, 108.11 and 90.00 degrees. The distinct sites, in fractional coordinates, are Dy at (0.216, 0.000, 0.208), Dy at (0.248, 0.324, 0.214), Te at (0.000, 0.000, 0.500), Te at (0.000, 0.339, 0.500), Rh at (0.000, 0.168, 0.000) and Au at (0.000, 0.500, 0.000).

---

A plane-wave DFT calculation with PBE-GGA was carried out for an optimized crystal structure of DyTh2Rh5Au.

The calculation puts the total energy at -62.7 eV/f.u. For the total moment, the calculation gives 0.00 μB per atom. For the formation energy, the calculation gives -0.36 eV per atom.

The space group is I4/mcm (No. 140) and the conventional cell measures 8.362, 8.362 and 11.035 Å, with angles of 90.00, 90.00 and 90.00 degrees. The distinct sites, in fractional coordinates, are Dy at (0.000, 0.000, 0.250), Th at (0.138, 0.362, 0.000), Rh at (0.000, 0.000, 0.000), Rh at (0.194, 0.306, 0.363) and Au at (0.000, 0.500, 0.250).

---

A plane-wave DFT calculation with PBE-GGA was carried out for an optimized crystal structure of DyTmRhAu.

The calculation puts the total energy at -23.1 eV/f.u. For the total moment, the calculation gives 0.00 μB per atom. For the formation energy, the calculation gives -0.86 eV per atom.

The space group is F-43m (No. 216) and the conventional cell measures 6.990, 6.990 and 6.990 Å, with angles of 90.00, 90.00 and 90.00 degrees. The distinct sites, in fractional coordinates, are Dy at (0.000, 0.000, 0.000), Tm at (0.000, 0.000, 0.500), Rh at (0.250, 0.250, 0.250) and Au at (0.250, 0.250, 0.750).

---

A plane-wave DFT calculation with PBE-GGA was carried out for an optimized crystal structure of DyTmRhAu.

The calculation puts the total energy at -23.2 eV/f.u. For the total moment, the calculation gives 0.00 μB per atom. For the formation energy, the calculation gives -0.88 eV per atom.

The space group is P4mm (No. 99) and the conventional cell measures 3.507, 3.507 and 6.920 Å, with angles of 90.00, 90.00 and 90.00 degrees. The distinct sites, in fractional coordinates, are Dy at (0.000, 0.000, 0.000), Tm at (0.000, 0.000, 0.526), Rh at (0.500, 0.500, 0.759) and Au at (0.500, 0.500, 0.270).

---

A plane-wave DFT calculation with PBE-GGA was carried out for an optimized crystal structure of DyYRhAu.

The calculation puts the total energy at -25.0 eV/f.u. For the total moment, the calculation gives 0.00 μB per atom. For the formation energy, the calculation gives -0.83 eV per atom.

The space group is F-43m (No. 216) and the conventional cell measures 7.047, 7.047 and 7.047 Å, with angles of 90.00, 90.00 and 90.00 degrees. The distinct sites, in fractional coordinates, are Dy at (0.000, 0.000, 0.000), Y at (0.000, 0.000, 0.500), Rh at (0.250, 0.250, 0.750) and Au at (0.250, 0.250, 0.250).

---

A plane-wave DFT calculation with PBE-GGA was carried out for an optimized crystal structure of DyYRhAu.

The calculation puts the total energy at -25.1 eV/f.u. For the total moment, the calculation gives 0.00 μB per atom. For the formation energy, the calculation gives -0.85 eV per atom.

The space group is P4mm (No. 99) and the conventional cell measures 3.542, 3.542 and 6.952 Å, with angles of 90.00, 90.00 and 90.00 degrees. The distinct sites, in fractional coordinates, are Dy at (0.000, 0.000, 0.000), Y at (0.000, 0.000, 0.525), Rh at (0.500, 0.500, 0.766) and Au at (0.500, 0.500, 0.261).

---

A plane-wave DFT calculation with PBE-GGA was carried out for an optimized crystal structure of DyZrRhAu.

The calculation puts the total energy at -26.4 eV/f.u. For the total moment, the calculation gives 0.00 μB per atom. For the formation energy, the calculation gives -0.66 eV per atom.

The space group is F-43m (No. 216) and the conventional cell measures 6.878, 6.878 and 6.878 Å, with angles of 90.00, 90.00 and 90.00 degrees. The distinct sites, in fractional coordinates, are Dy at (0.000, 0.000, 0.000), Zr at (0.000, 0.000, 0.500), Rh at (0.250, 0.250, 0.250) and Au at (0.250, 0.250, 0.750).

---

A plane-wave DFT calculation with PBE-GGA was carried out for an optimized crystal structure of Dy12RuAu6.

The calculation puts the total energy at -93.2 eV/f.u. For the total moment, the calculation gives 0.00 μB per atom. For the formation energy, the calculation gives -0.48 eV per atom.

The space group is R-3 (No. 148, hexagonal axes) and the conventional cell measures 12.5815, 12.5815 and 12.1466 Å, with angles of 90.00, 90.00 and 120.00 degrees. The distinct sites, in fractional coordinates, are Dy at (0.0301, 0.2114, 0.3959), Dy at (0.0508, 0.2003, 0.8829), Ru at (0.0000, 0.0000, 0.0000) and Au at (0.0474, 0.2714, 0.6457).

---

A plane-wave DFT calculation with PBE-GGA was carried out for an optimized crystal structure of Dy5Ru2Au2.

The calculation puts the total energy at -53.4 eV/f.u. For the total moment, the calculation gives 0.00 μB per atom. For the formation energy, the calculation gives -0.59 eV per atom.

The space group is Cmce (No. 64) and the conventional cell measures 15.096, 7.455 and 7.616 Å, with angles of 90.00, 90.00 and 90.00 degrees. The distinct sites, in fractional coordinates, are Dy at (0.000, 0.000, 0.000), Dy at (0.127, 0.169, 0.330), Ru at (0.000, 0.131, 0.632) and Au at (0.209, 0.000, 0.000).

---

A plane-wave DFT calculation with PBE-GGA was carried out for an optimized crystal structure of Dy4RuAu.

The calculation puts the total energy at -33.9 eV/f.u. For the total moment, the calculation gives 0.00 μB per atom. For the formation energy, the calculation gives -0.48 eV per atom.

The space group is C2/c (No. 15) and the conventional cell measures 8.970, 13.094 and 6.271 Å, with angles of 90.00, 120.85 and 90.00 degrees. The distinct sites, in fractional coordinates, are Dy at (0.119, 0.175, 0.089), Dy at (0.211, 0.434, 0.297), Ru at (0.000, 0.002, 0.750) and Au at (0.000, 0.368, 0.750).

---

A plane-wave DFT calculation with PBE-GGA was carried out for an optimized crystal structure of Dy4RuAu.

The calculation puts the total energy at -33.3 eV/f.u. For the total moment, the calculation gives 0.00 μB per atom. For the formation energy, the calculation gives -0.39 eV per atom.

The space group is C2/m (No. 12) and the conventional cell measures 6.873, 6.873 and 6.944 Å, with angles of 90.00, 90.09 and 90.00 degrees. The distinct sites, in fractional coordinates, are Dy at (0.250, 0.250, 0.239), Ru at (0.000, 0.000, 0.000) and Au at (0.000, 0.500, 0.500).

---

A plane-wave DFT calculation with PBE-GGA was carried out for an optimized crystal structure of Dy4RuAu3.

The calculation puts the total energy at -43.5 eV/f.u. For the total moment, the calculation gives 0.00 μB per atom. For the formation energy, the calculation gives -0.75 eV per atom.

The space group is P4/mmm (No. 123) and the conventional cell measures 3.516, 3.516 and 14.480 Å, with angles of 90.00, 90.00 and 90.00 degrees. The distinct sites, in fractional coordinates, are Dy at (0.000, 0.000, 0.115), Dy at (0.000, 0.000, 0.371), Ru at (0.500, 0.500, 0.000), Au at (0.500, 0.500, 0.246) and Au at (0.500, 0.500, 0.500).

---

A plane-wave DFT calculation with PBE-GGA was carried out for an optimized crystal structure of Dy5Ru4Au.

The calculation puts the total energy at -68.1 eV/f.u. For the total moment, the calculation gives 0.00 μB per atom. For the formation energy, the calculation gives -0.47 eV per atom.

The space group is P4/mmm (No. 123) and the conventional cell measures 3.420, 3.420 and 17.398 Å, with angles of 90.00, 90.00 and 90.00 degrees. The distinct sites, in fractional coordinates, are Dy at (0.000, 0.000, 0.000), Dy at (0.000, 0.000, 0.193), Dy at (0.000, 0.000, 0.387), Ru at (0.500, 0.500, 0.097), Ru at (0.500, 0.500, 0.295) and Au at (0.500, 0.500, 0.500).